AcTb4Y4 | PBE-GGA | relaxed

ΔH_f (0 K)	0.11	eV/atom
energy above the lowest structure with this stoichiometry	75.4	meV per atom
spin magnetization	0.000	μB per formula unit

Unit cell a=6.429 b=17.429 c=10.979 alpha=90.00 beta=99.98 gamma=90.00
Space group C2/m (No. 12)
Symmetry-distinct sites (fractional):
Ac (0.223, 0.000, 0.275) (multiplicity 4)
Tb (0.000, 0.185, 0.000) (multiplicity 4)
Tb (0.000, 0.356, 0.500) (multiplicity 4)
Tb (0.003, 0.355, 0.162) (multiplicity 8)
Y (0.017, 0.188, 0.665) (multiplicity 8)
Y (0.225, 0.000, 0.613) (multiplicity 4)
Y (0.229, 0.000, 0.943) (multiplicity 4)

Ac2Tb4Y5 | PBE-GGA | relaxed

ΔH_f (0 K)	0.16	eV/atom
energy above the lowest structure with this stoichiometry	0.0	meV per atom
spin magnetization	0.000	μB per formula unit

Unit cell a=16.711 b=6.802 c=6.895 alpha=90.00 beta=99.58 gamma=90.00
Space group C2/m (No. 12)
Symmetry-distinct sites (fractional):
Ac (0.202, 0.000, 0.304) (multiplicity 4)
Tb (0.084, 0.500, 0.397) (multiplicity 4)
Tb (0.246, 0.000, 0.815) (multiplicity 4)
Y (0.000, 0.000, 0.500) (multiplicity 2)
Y (0.088, 0.262, 0.901) (multiplicity 8)

AcTbY | PBE-GGA | relaxed

ΔH_f (0 K)	0.06	eV/atom
energy above the lowest structure with this stoichiometry	3.9	meV per atom
spin magnetization	0.000	μB per formula unit

Unit cell a=5.297 b=15.428 c=5.308 alpha=90.00 beta=90.00 gamma=90.00
Space group Cmcm (No. 63)
Symmetry-distinct sites (fractional):
Ac (0.000, 0.250, 0.250) (multiplicity 4)
Tb (0.000, 0.078, 0.750) (multiplicity 4)
Y (0.000, 0.422, 0.750) (multiplicity 4)

Ac2Tb3Y2 | PBE-GGA | relaxed

ΔH_f (0 K)	0.16	eV/atom
spin magnetization	0.002	μB per formula unit

Unit cell a=10.023 b=5.788 c=9.350 alpha=90.00 beta=110.84 gamma=90.00
Space group C2/m (No. 12)
Symmetry-distinct sites (fractional):
Ac (0.134, 0.000, 0.402) (multiplicity 4)
Tb (0.000, 0.000, 0.000) (multiplicity 2)
Tb (0.227, 0.500, 0.177) (multiplicity 4)
Y (0.094, 0.500, 0.785) (multiplicity 4)

AcTb2Y | PBE-GGA | relaxed

ΔH_f (0 K)	0.14	eV/atom
energy above the lowest structure with this stoichiometry	89.7	meV per atom
spin magnetization	0.000	μB per formula unit

Unit cell a=8.274 b=8.274 c=8.274 alpha=90.00 beta=90.00 gamma=90.00
Space group Fm-3m (No. 225)
Symmetry-distinct sites (fractional):
Ac (0.000, 0.000, 0.000) (multiplicity 4)
Tb (0.250, 0.250, 0.250) (multiplicity 8)
Y (0.000, 0.000, 0.500) (multiplicity 4)

Ac8Tb5Y | PBE-GGA | relaxed

ΔH_f (0 K)	0.27	eV/atom
spin magnetization	0.000	μB per formula unit

Unit cell a=10.251 b=10.251 c=10.868 alpha=90.00 beta=90.00 gamma=90.00
Space group I-4 (No. 82)
Symmetry-distinct sites (fractional):
Ac (0.068, 0.327, 0.410) (multiplicity 8)
Ac (0.090, 0.181, 0.747) (multiplicity 8)
Tb (0.000, 0.000, 0.500) (multiplicity 2)
Tb (0.101, 0.198, 0.072) (multiplicity 8)
Y (0.000, 0.500, 0.750) (multiplicity 2)

- Number 2 is which compound?
  Ac2Tb4Y5